Computed, not measured: a PBEsol-optimized structure of Ta2IrCl at the meta-GGA SCAN level of DFT.

POSCAR file:
```
Ta2IrCl
1.0
-1.4839 2.5304 4.2798
1.4839 -2.5304 4.2798
1.4839 2.5304 -4.2798
Ta Ir Cl
2 1 1
Cartesian
0.0000 0.0000 1.9635
0.0000 0.0000 6.5962
0.0000 2.5304 0.0000
1.4839 0.0000 0.0000
```

Output
energy above the most stable polymorph in this dataset = 210 kJ/mol of formula units
DFT total energy = -52.687 eV/atom
formation energy (no corrections) = 0.3742 eV/atom

Computed, not measured: a PBEsol-optimized structure of Ta2IrCl at the meta-GGA SCAN level of DFT.

POSCAR file:
```
Ta2IrCl
1.0
1.4428 0.8330 8.7440
-1.4428 0.8330 8.7440
0.0000 -1.6660 8.7440
Ta Ir Cl
2 1 1
Cartesian
0.0000 0.0000 6.5169
0.0000 0.0000 19.7151
0.0000 0.0000 0.0000
0.0000 0.0000 13.1160
```

Output
energy above the most stable polymorph in this dataset = 16 kJ/mol of formula units
DFT total energy = -53.189 eV/atom
formation energy (no corrections) = -0.1278 eV/atom

Computed, not measured: a PBEsol-optimized structure of Tc2IrCl at the meta-GGA SCAN level of DFT.

POSCAR file:
```
Tc2IrCl
1.0
2.5623 -4.0475 0.0000
2.5623 4.0475 0.0000
-0.0112 0.0000 2.7630
Tc Ir Cl
2 1 1
Cartesian
1.2811 2.0237 0.0000
1.2811 -2.0237 0.0000
-0.0056 0.0000 1.3815
2.5567 0.0000 1.3815
```

Output
energy above the most stable polymorph in this dataset = 157 kJ/mol of formula units
DFT total energy = -36.346 eV/atom
formation energy (no corrections) = 0.9536 eV/atom

Computed, not measured: a PBEsol-optimized structure of TcIr2Cl at the meta-GGA SCAN level of DFT.

POSCAR file:
```
TcIr2Cl
1.0
0.0000 3.0676 3.0676
3.0676 0.0000 3.0676
3.0676 3.0676 0.0000
Tc Ir Cl
1 2 1
Cartesian
0.0000 0.0000 0.0000
1.5338 1.5338 1.5338
3.0676 3.0676 3.0676
4.6014 4.6014 4.6014
```

Output
energy above the most stable polymorph in this dataset = 121 kJ/mol of formula units
DFT total energy = -45.429 eV/atom
formation energy (no corrections) = 0.8798 eV/atom